DFT (PBE) results for a geometry-optimized Ca3BeCu structure.

Cell and atoms, written as POSCAR:
```
Ca3BeCu
1.0
5.445 0.000 0.000
0.000 5.445 0.000
0.000 0.000 5.445
Be Cu Ca
1 1 3
Direct
0.000 0.000 0.000 Be
0.500 0.500 0.500 Cu
0.000 0.500 0.000 Ca
0.000 0.000 0.500 Ca
0.500 0.000 0.000 Ca
```

Results
energy above the most stable polymorph in this dataset	0	meV/atom
symmetry	Pm-3m, No. 221
DFT formation energy	10.43	kcal/mol of atoms


DFT (PBE) results for a geometry-optimized Ca2Be3Cu17 structure.

Cell and atoms, written as POSCAR:
```
Ca2Be3Cu17
1.0
-2.901 3.938 -4.641
-2.256 -5.040 -3.870
-6.184 -0.214 2.680
Ca Cu Be
2 17 3
Direct
0.661 0.661 0.661 Ca
0.339 0.339 0.339 Ca
0.731 0.269 0.000 Cu
0.837 0.333 0.333 Cu
0.333 0.837 0.333 Cu
0.000 0.731 0.269 Cu
0.096 0.096 0.096 Cu
0.667 0.667 0.163 Cu
0.163 0.667 0.667 Cu
0.000 0.269 0.731 Cu
0.667 0.163 0.667 Cu
0.269 0.731 0.000 Cu
0.269 0.000 0.731 Cu
0.731 0.000 0.269 Cu
0.000 0.500 0.000 Cu
0.500 0.000 0.000 Cu
0.904 0.904 0.904 Cu
0.333 0.333 0.837 Cu
0.000 0.000 0.500 Cu
0.500 0.000 0.500 Be
0.000 0.500 0.500 Be
0.500 0.500 0.000 Be
```

Results
symmetry	R-3m, No. 166
DFT formation energy	2.92	kcal/mol of atoms


DFT (PBE) results for a geometry-optimized CaBeCu2 structure.

Cell and atoms, written as POSCAR:
```
CaBeCu2
1.0
3.862 0.000 0.000
0.000 3.263 0.038
0.000 1.539 5.412
Ca Be Cu
1 1 2
Direct
0.500 0.706 0.720 Ca
0.000 0.356 0.416 Be
0.000 0.999 0.125 Cu
0.500 0.440 0.240 Cu
```

Results
symmetry	Pm, No. 6
DFT formation energy	3.30	kcal/mol of atoms